[1]
# SrAl22O34 (SCAN, single point on PBEsol structure)
# - crystal system = monoclinic
# - ΔE_f (raw) (eV per atom) = -3.3390
# - VASP energy (eV per atom) = -10.44
# - size of the total moment (μB/cell) = 0.0
# - ρ (g/cm³) = 3.30
data_SrAl22O34
_cell_length_a 9.7176
_cell_length_b 11.2267
_cell_length_c 11.7565
_cell_angle_alpha 90.00
_cell_angle_beta 105.76
_cell_angle_gamma 90.00
_symmetry_space_group_name_H-M 'P 1 21/m 1'
_symmetry_Int_Tables_number 11
loop_
_symmetry_equiv_pos_as_xyz
'x,y,z'
'-x,-y,-z'
'-x,y+1/2,-z'
'x,-y+1/2,z'
loop_
_atom_site_label
_atom_site_type_symbol
_atom_site_fract_x
_atom_site_fract_y
_atom_site_fract_z
Sr1 Sr 0.1966 0.2500 0.0204
Al1 Al 0.9997 0.2500 0.4984
Al2 Al 0.0517 0.0001 0.1502
Al3 Al 0.0977 0.2500 0.2894
Al4 Al 0.0992 0.7500 0.2883
Al5 Al 0.1498 0.5010 0.4498
Al6 Al 0.1534 0.1235 0.7108
Al7 Al 0.1558 0.6247 0.7159
Al8 Al 0.3466 0.6263 0.2833
Al9 Al 0.3482 0.1246 0.2925
Al10 Al 0.3492 0.7500 0.5497
Al11 Al 0.3509 0.2500 0.5537
Al12 Al 0.4033 0.9995 0.7160
Al13 Al 0.4464 0.2500 0.8526
Al14 Al 0.4515 0.7500 0.8526
Al15 Al 0.5000 0.0000 0.5000
O1 O 0.0000 0.0000 0.0000
O2 O 0.0446 0.6337 0.4004
O3 O 0.0476 0.1325 0.3998
O4 O 0.0916 0.7500 0.7834
O5 O 0.0949 0.0008 0.7876
O6 O 0.0948 0.2500 0.7885
O7 O 0.1552 0.6255 0.2124
O8 O 0.1573 0.1303 0.2041
O9 O 0.1877 0.2500 0.6001
O10 O 0.1890 0.7500 0.5996
O11 O 0.2028 0.5014 0.6102
O12 O 0.2962 0.2500 0.3914
O13 O 0.2978 0.7500 0.3889
O14 O 0.3099 0.0018 0.4005
O15 O 0.3427 0.1244 0.7876
O16 O 0.3459 0.6253 0.7909
O17 O 0.3990 0.2500 0.2113
O18 O 0.4038 0.7500 0.2064
O19 O 0.4058 0.0019 0.2165
O20 O 0.4514 0.2500 0.0006
O21 O 0.4555 0.1171 0.6005
O22 O 0.4548 0.6181 0.5989

---

[2]
# Sr2YTi2AlO7 (SCAN, single point on PBEsol structure)
# - crystal system = orthorhombic
# - ΔE_f (raw) (eV per atom) = -3.1697
# - VASP energy (eV per atom) = -15.16
# - size of the total moment (μB/cell) = 0.0
# - ρ (g/cm³) = 4.85
data_Sr2YTi2AlO7
_cell_length_a 22.3715
_cell_length_b 5.5960
_cell_length_c 5.4533
_cell_angle_alpha 90.00
_cell_angle_beta 90.00
_cell_angle_gamma 90.00
_symmetry_space_group_name_H-M 'I m a 2'
_symmetry_Int_Tables_number 46
loop_
_symmetry_equiv_pos_as_xyz
'x,y,z'
'-x,-y,z'
'-x+1/2,y,z'
'x+1/2,-y,z'
'x+1/2,y+1/2,z+1/2'
'-x+1/2,-y+1/2,z+1/2'
'-x,y+1/2,z+1/2'
'x,-y+1/2,z+1/2'
loop_
_atom_site_label
_atom_site_type_symbol
_atom_site_fract_x
_atom_site_fract_y
_atom_site_fract_z
Sr1 Sr 0.1554 0.0217 0.0000
Y1 Y 0.0000 0.0000 0.9929
Ti1 Ti 0.0632 0.5006 0.9933
Al1 Al 0.2500 0.5728 0.0233
O1 O 0.0679 0.2448 0.7482
O2 O 0.0703 0.7464 0.7393
O3 O 0.1797 0.0568 0.4682
O4 O 0.2500 0.6567 0.3431

---

[3]
# Tb4Al2O9 (SCAN, single point on PBEsol structure)
# - crystal system = monoclinic
# - ΔE_f (raw) (eV per atom) = -3.7281
# - VASP energy (eV per atom) = -20.97
# - size of the total moment (μB/cell) = 0.0
# - ρ (g/cm³) = 6.79
data_Tb4Al2O9
_cell_length_a 7.3801
_cell_length_b 10.4870
_cell_length_c 11.1203
_cell_angle_alpha 90.00
_cell_angle_beta 108.62
_cell_angle_gamma 90.00
_symmetry_space_group_name_H-M 'P 1 21/c 1'
_symmetry_Int_Tables_number 14
loop_
_symmetry_equiv_pos_as_xyz
'x,y,z'
'-x,-y,-z'
'-x,y+1/2,-z+1/2'
'x,-y+1/2,z+1/2'
loop_
_atom_site_label
_atom_site_type_symbol
_atom_site_fract_x
_atom_site_fract_y
_atom_site_fract_z
Tb1 Tb 0.0230 0.0938 0.3069
Tb2 Tb 0.1646 0.6194 0.5888
Tb3 Tb 0.3378 0.1258 0.9362
Tb4 Tb 0.4767 0.6094 0.2160
Al1 Al 0.2158 0.1822 0.6268
Al2 Al 0.3455 0.6804 0.8861
O1 O 0.0721 0.2355 0.4783
O2 O 0.0788 0.5069 0.3940
O3 O 0.2131 0.0191 0.6543
O4 O 0.2126 0.7321 0.2526
O5 O 0.2313 0.2357 0.2685
O6 O 0.3008 0.5227 0.8314
O7 O 0.3619 0.7310 0.0391
O8 O 0.4323 0.2424 0.6146
O9 O 0.4365 0.5081 0.6067

---

Which value of ΔE_f (raw) does entry 3 give?
-3.7281 eV per atom

---

Which value of VASP energy does entry 2 give?
-15.16 eV per atom